No. 1
Computed, not measured: a geometry-optimized TmPuAlAg structure at the GGA-PBE level of DFT.

a = 7.248 Å, b = 7.248 Å, c = 7.248 Å
α = 90.00°, β = 90.00°, γ = 90.00°
Space group F-43m (No. 216)
One atom of each set of equivalent atoms:
Tm: 0.000 0.000 0.000 x4
Pu: 0.000 0.000 0.500 x4
Al: 0.250 0.250 0.750 x4
Ag: 0.250 0.250 0.250 x4

Summary:
E_form ... -0.1253 eV per atom

No. 2
Computed, not measured: a geometry-optimized AcAg2SbTe4 structure at the GGA-PBE level of DFT.

a = 7.816 Å, b = 7.961 Å, c = 8.368 Å
α = 90.00°, β = 90.00°, γ = 90.00°
Space group I222 (No. 23)
One atom of each set of equivalent atoms:
Ac: 0.000 0.000 0.000 x2
Ag: 0.000 0.500 0.174 x4
Sb: 0.000 0.000 0.500 x2
Te: 0.229 0.220 0.302 x8

Summary:
Uncorrected formation energy ... -0.43 eV/atom

No. 3
Computed, not measured: a geometry-optimized Tb2CoI structure at the GGA-PBE level of DFT.

a = 3.9661 Å, b = 3.9661 Å, c = 23.6857 Å
α = 90.00°, β = 90.00°, γ = 120.00°
Space group R3m (No. 160, hexagonal axes)
One atom of each set of equivalent atoms:
Tb: 0.0000 0.0000 0.0000 x3
Tb: 0.0000 0.0000 0.2144 x3
Co: 0.0000 0.0000 0.6071 x3
I: 0.0000 0.0000 0.4394 x3

Summary:
Uncorrected formation energy ... -0.57 eV/atom
Energy above the most stable polymorph in this dataset ... 0.010 eV/atom

No. 4
Computed, not measured: a geometry-optimized Er8Sn2Te structure at the GGA-PBE level of DFT.

a = 18.055 Å, b = 5.121 Å, c = 6.777 Å
α = 90.00°, β = 93.19°, γ = 90.00°
Space group C2/m (No. 12)
One atom of each set of equivalent atoms:
Er: 0.031 0.000 0.249 x4
Er: 0.094 0.500 0.933 x4
Er: 0.164 0.500 0.418 x4
Er: 0.216 0.000 0.133 x4
Sn: 0.165 0.000 0.679 x4
Te: 0.000 0.500 0.500 x2

Summary:
Uncorrected formation energy ... -0.48 eV/atom